## Y2SnPd2 (PBE)

Data for crystalline Y2SnPd2 at its relaxed geometry.

Properties
Calculated volume   24.23 Å³ per atom
ΔH_f (0 K)   -0.623 eV per atom
Magnetization   0.0000 μB per atom
Electronic total energy   -6.0859 eV per atom

Cell lengths 3.858, 3.858, 16.285 Å; angles 90.00, 90.00, 90.00 degrees
Space group I4/mmm (No. 139)
Unique sites:
Y  0.000  0.000  0.118 [4 per cell]
Sn  0.000  0.000  0.500 [2 per cell]
Pd  0.000  0.500  0.250 [4 per cell]